Entry 1:
This record from Alexandria describes EuThZnIn after structural relaxation. The functional is GGA-PBE.

Lattice parameters (Å, degrees): 5.3928 5.3928 5.3928 60.00 60.00 60.00
Sites, in units of the cell vectors:
Zn (0.0000, 0.0000, 0.0000)
In (0.5000, 0.5000, 0.5000)
Th (0.7500, 0.7500, 0.7500)
Eu (0.2500, 0.2500, 0.2500)

Properties
ρ	8.4	g/cm³
Fermi-level density of states	4.54	states/eV/cell
calculated formation energy	-0.21	eV per atom
SG	F-43m

=====

Entry 2:
This record from Alexandria describes EuTiIn2 after structural relaxation. The functional is GGA-PBE.

Lattice parameters (Å, degrees): 3.2579 3.2579 8.9122 90.00 90.00 90.00
Sites, in units of the cell vectors:
In (0.0000, 0.0000, 0.2182)
In (0.0000, 0.0000, 0.7818)
Eu (0.5000, 0.5000, 0.5000)
Ti (0.5000, 0.5000, 0.0000)

Properties
offset from the most stable computed form	0.0000	eV per atom
ρ	7.5	g/cm³
Fermi-level density of states	3.23	states/eV/cell
calculated formation energy	-0.21	eV per atom
SG	P4/mmm

=====

Entry 3:
This record from Alexandria describes EuTiIn2 after structural relaxation. The functional is GGA-PBE.

Lattice parameters (Å, degrees): 3.3524 3.3524 10.4093 80.73 80.73 60.00
Sites, in units of the cell vectors:
In (0.2586, 0.2586, 0.2243)
In (0.7414, 0.7414, 0.7757)
Ti (0.0000, 0.0000, 0.0000)
Eu (0.5000, 0.5000, 0.5000)

Properties
offset from the most stable computed form	0.1906	eV per atom
ρ	7.2	g/cm³
Fermi-level density of states	3.64	states/eV/cell
calculated formation energy	-0.02	eV per atom
SG	R-3m

=====

Entry 4:
This record from Alexandria describes EuTlIn2 after structural relaxation. The functional is GGA-PBE.

Lattice parameters (Å, degrees): 4.8293 4.7782 4.7782 90.00 90.00 90.00
Sites, in units of the cell vectors:
In (0.0000, 0.0000, 0.5000)
In (0.0000, 0.5000, 0.0000)
Tl (0.5000, 0.5000, 0.5000)
Eu (0.5000, 0.0000, 0.0000)

Properties
offset from the most stable computed form	0.0000	eV per atom
ρ	8.8	g/cm³
Fermi-level density of states	7.73	states/eV/cell
calculated formation energy	-0.33	eV per atom
SG	P4/mmm

=====

Entry 5:
This record from Alexandria describes EuTlIn after structural relaxation. The functional is GGA-PBE.

Lattice parameters (Å, degrees): 3.8146 5.1727 5.1727 120.00 90.00 90.00
Sites, in units of the cell vectors:
Tl (0.2366, 0.3333, 0.6667)
Eu (0.6593, 0.6667, 0.3333)
In (0.1041, 0.0000, 0.0000)

Properties
offset from the most stable computed form	0.0000	eV per atom
ρ	8.9	g/cm³
Fermi-level density of states	8.04	states/eV/cell
calculated formation energy	-0.36	eV per atom
SG	P3m1

=====

Entry 6:
This record from Alexandria describes EuTl2In after structural relaxation. The functional is GGA-PBE.

Lattice parameters (Å, degrees): 3.9705 3.9705 7.5052 90.00 90.00 90.00
Sites, in units of the cell vectors:
In (0.5000, 0.5000, 0.0000)
Tl (0.0000, 0.0000, 0.7704)
Tl (0.0000, 0.0000, 0.2296)
Eu (0.5000, 0.5000, 0.5000)

Properties
ρ	9.5	g/cm³
Fermi-level density of states	5.94	states/eV/cell
calculated formation energy	-0.22	eV per atom
SG	P4/mmm

=====

Entry 7:
This record from Alexandria describes EuTl4In after structural relaxation. The functional is GGA-PBE.

Lattice parameters (Å, degrees): 6.4404 6.4404 6.4404 60.00 60.00 60.00
Sites, in units of the cell vectors:
Eu (0.2500, 0.2500, 0.2500)
Tl (0.6251, 0.6251, 0.1248)
Tl (0.1248, 0.6251, 0.6251)
Tl (0.6251, 0.1248, 0.6251)
Tl (0.6251, 0.6251, 0.6251)
In (0.0000, 0.0000, 0.0000)

Properties
ρ	9.5	g/cm³
Fermi-level density of states	14.10	states/eV/cell
calculated formation energy	-0.07	eV per atom
SG	F-43m

=====

Entry 8:
This record from Alexandria describes EuTl2In after structural relaxation. The functional is GGA-PBE.

Lattice parameters (Å, degrees): 4.8035 4.8672 4.8672 90.00 90.00 90.00
Sites, in units of the cell vectors:
In (0.5000, 0.0000, 0.0000)
Eu (0.5000, 0.5000, 0.5000)
Tl (0.0000, 0.5000, 0.0000)
Tl (0.0000, 0.0000, 0.5000)

Properties
ρ	9.9	g/cm³
Fermi-level density of states	7.87	states/eV/cell
calculated formation energy	-0.30	eV per atom
SG	P4/mmm

=====

> Which of these has the highest calculated formation energy?

number 3

=====

> Which formula does entry 7 have?

EuTl4In